*1*
Material: BaCuTc2
Method: DFT, GGA-PBE
State: relaxed

Geometry as extended XYZ:
```
4
Lattice="5.831 -0.028 0.000 -3.316 4.797 0.000 0.000 0.000 2.805" Properties=species:S:1:pos:R:3 pbc="T T T"
Cu -1.658 2.398 1.402
Tc 1.258 2.384 0.000
Ba 2.916 -0.014 1.402
Tc 0.000 0.000 0.000
```

## Properties
Space-group type   Cmmm (65)

*2*
Material: BaCuTc2
Method: DFT, GGA-PBE
State: relaxed

Geometry as extended XYZ:
```
4
Lattice="10.238 -0.004 -0.002 9.819 2.901 -0.002 9.819 1.418 2.531" Properties=species:S:1:pos:R:3 pbc="T T T"
Tc 0.490 0.071 0.041
Cu 22.407 3.236 1.894
Tc 14.448 2.087 1.221
Ba 7.469 1.079 0.631
```

## Properties
Space-group type   R-3m (166)

*3*
Material: BaCuTc2
Method: DFT, GGA-PBE
State: relaxed

Geometry as extended XYZ:
```
4
Lattice="4.269 0.000 0.003 2.135 3.697 0.003 2.121 1.224 6.062" Properties=species:S:1:pos:R:3 pbc="T T T"
Cu 2.135 1.232 0.632
Tc 2.121 1.224 5.827
Ba 4.261 2.459 3.061
Tc 6.391 3.689 5.645
```

## Properties
Space-group type   Cm (8)

Stability check: which of them is most stable? *3*.

*1*
Material: BaCuTc2
Method: DFT, GGA-PBE
State: relaxed

Geometry as extended XYZ:
```
4
Lattice="4.754 -0.024 0.000 0.028 4.754 0.000 -2.391 -2.365 3.360" Properties=species:S:1:pos:R:3 pbc="T T T"
Tc 0.014 2.377 1.680
Tc 0.000 0.000 0.000
Cu 2.377 -0.012 1.680
Ba 2.391 2.365 0.000
```

## Properties
Space-group type   F-43m (216)

*2*
Material: BaCuTc2
Method: DFT, GGA-PBE
State: relaxed

Geometry as extended XYZ:
```
4
Lattice="-3.548 2.734 -0.730 -1.616 -4.955 2.841 -0.197 0.873 3.104" Properties=species:S:1:pos:R:3 pbc="T T T"
Ba -0.907 -2.041 2.973
Tc 0.000 0.000 0.000
Cu -2.582 -1.111 1.056
Tc -1.872 1.804 1.187
```

## Properties
Space-group type   C2/m (12)

*3*
Material: BaCuTc2
Method: DFT, GGA-PBE
State: relaxed

Geometry as extended XYZ:
```
4
Lattice="-0.149 4.158 -1.934 1.429 -1.457 -3.243 -4.622 -1.523 -2.918" Properties=species:S:1:pos:R:3 pbc="T T T"
Cu -2.470 -0.156 -5.588
Tc -2.148 -1.740 -3.576
Ba -0.873 1.334 -2.507
Tc -2.642 -2.730 -5.666
```

## Properties
Space-group type   P2/m (10)

Stability check: which of them is most stable? *3*.

*1*
Material: BaCuTe
Method: DFT, GGA-PBE
State: relaxed

Geometry as extended XYZ:
```
3
Lattice="6.482 0.025 -0.022 4.930 3.800 0.036 1.553 -0.287 3.765" Properties=species:S:1:pos:R:3 pbc="T T T"
Ba 11.396 3.818 0.020
Cu 8.507 2.613 1.119
Te 4.474 0.931 2.654
```

## Properties
Space-group type   Fmm2 (42)

*2*
Material: BaCuTe
Method: DFT, GGA-PBE
State: relaxed

Geometry as extended XYZ:
```
3
Lattice="4.531 0.000 0.000 -2.265 3.924 0.000 0.000 0.000 4.990" Properties=species:S:1:pos:R:3 pbc="T T T"
Ba 0.000 0.000 0.000
Cu 2.265 1.308 2.494
Te 0.000 2.616 2.495
```

## Properties
Space-group type   P-6m2 (187)

*3*
Material: BaCuTe
Method: DFT, GGA-PBE
State: relaxed

Geometry as extended XYZ:
```
3
Lattice="5.095 0.000 0.000 2.547 4.412 0.000 2.547 1.471 4.160" Properties=species:S:1:pos:R:3 pbc="T T T"
Cu 7.642 4.412 3.120
Ba 5.095 2.942 2.080
Te 0.000 0.000 0.000
```

## Properties
Space-group type   F-43m (216)

Stability check: which of them is most stable? *2*.

*1*
Material: BaCu3Te3
Method: DFT, GGA-PBE
State: relaxed

Geometry as extended XYZ:
```
14
Lattice="-0.379 4.356 -1.232 -8.349 0.872 5.651 9.073 1.932 4.043" Properties=species:S:1:pos:R:3 pbc="T T T"
Ba -2.636 2.315 4.807
Te -5.359 4.042 3.375
Te -0.776 4.182 2.463
Cu -3.268 3.744 1.677
Te 5.704 3.119 5.087
Cu 0.686 2.216 3.435
Cu -4.868 4.790 5.869
Te 1.121 2.978 5.999
Cu 5.213 2.371 2.593
Ba 2.981 4.846 3.655
Te 2.688 1.907 1.727
Cu -0.341 4.945 5.027
Te -2.343 5.254 6.735
Cu 3.613 3.417 6.784
```

## Properties
Space-group type   P6_3/m (176)

*2*
Material: BaCu3Te3
Method: DFT, GGA-PBE
State: relaxed

Geometry as extended XYZ:
```
14
Lattice="-1.559 7.130 -0.016 -6.876 -1.499 1.935 1.887 0.428 7.037" Properties=species:S:1:pos:R:3 pbc="T T T"
Cu -2.966 -0.642 2.727
Te -3.827 1.033 0.963
Cu -0.226 5.561 3.507
Te 0.636 3.886 5.270
Cu 0.554 1.997 3.515
Ba -3.274 3.030 4.478
Cu -2.498 3.190 0.476
Cu -5.936 2.441 1.443
Cu -2.023 -0.428 6.245
Ba 0.000 0.000 0.000
Te -4.607 4.598 0.955
Te -0.775 -0.161 4.002
Te -4.213 -0.910 4.970
Te -0.308 3.672 1.751
```

## Properties
Space-group type   Pm-3n (223)

Stability check: which of them is most stable? *1*.